Here is LaMg4Co after structural relaxation from Alexandria. Energies are from GGA-PBEsol.

Cell and atoms, written as extended XYZ:
```
6
Lattice="5.684 0.000 0.000 2.842 4.922 0.000 2.842 1.641 4.641" Properties=species:S:1:pos:R:3 pbc="T T T"
Co 8.526 4.922 3.481
Mg 5.684 4.905 1.746
Mg 4.278 2.470 1.746
La 0.000 0.000 0.000
Mg 5.684 3.282 4.042
Mg 7.090 2.470 1.746
```

Properties
calculated volume = 21.64 Å³/atom
ΔE_f = 174 kJ/mol of formula units
space-group type = F-43m



Here is La2MgCo after structural relaxation from Alexandria. Energies are from GGA-PBEsol.

Cell and atoms, written as extended XYZ:
```
4
Lattice="-1.445 -3.217 -0.606 2.723 -1.634 2.184 -5.097 1.314 5.177" Properties=species:S:1:pos:R:3 pbc="T T T"
Mg -1.910 -1.769 3.377
Co 0.639 -2.426 0.789
La -3.814 0.891 4.363
La 1.439 -1.211 2.998
```

Properties
calculated volume = 25.10 Å³/atom
ΔE_f = -11 kJ/mol of formula units
space-group type = P2/m



Here is La2MgCo after structural relaxation from Alexandria. Energies are from GGA-PBEsol.

Cell and atoms, written as extended XYZ:
```
4
Lattice="3.395 0.000 0.000 0.000 4.941 0.000 -1.697 -2.470 5.835" Properties=species:S:1:pos:R:3 pbc="T T T"
Mg 1.697 2.470 0.782
Co 0.000 2.470 2.880
La 1.697 0.000 2.953
La 1.697 2.470 5.055
```

Properties
calculated volume = 24.47 Å³/atom
ΔE_f = 15 kJ/mol of formula units
space-group type = Imm2



Here is La3MgCo after structural relaxation from Alexandria. Energies are from GGA-PBEsol.

Cell and atoms, written as extended XYZ:
```
5
Lattice="-1.834 -4.692 -1.665 1.895 -2.299 4.391 -4.604 0.923 2.471" Properties=species:S:1:pos:R:3 pbc="T T T"
La -2.302 0.461 1.235
La -0.917 -2.346 -0.833
Mg -2.272 -3.034 2.598
Co 0.000 0.000 0.000
La 0.948 -1.150 2.195
```

Properties
calculated volume = 29.88 Å³/atom
ΔE_f = -29 kJ/mol of formula units
space-group type = Pm-3m



Here is LaMgCo3 after structural relaxation from Alexandria. Energies are from GGA-PBEsol.

Cell and atoms, written as extended XYZ:
```
5
Lattice="-3.749 0.642 -2.431 1.861 -2.227 -3.457 -1.691 -3.873 1.585" Properties=species:S:1:pos:R:3 pbc="T T T"
La 0.000 0.000 0.000
Co -0.845 -1.937 0.792
Co -1.874 0.321 -1.215
Mg -1.789 -2.729 -2.151
Co 0.930 -1.113 -1.729
```

Properties
calculated volume = 18.39 Å³/atom
ΔE_f = 639 kJ/mol of formula units
space-group type = Pm-3m



Here is La2MgCo after structural relaxation from Alexandria. Energies are from GGA-PBEsol.

Cell and atoms, written as extended XYZ:
```
4
Lattice="-1.578 -2.188 2.089 1.545 -2.610 -1.563 6.617 0.568 5.592" Properties=species:S:1:pos:R:3 pbc="T T T"
Co -0.016 -2.399 0.263
La 1.258 0.108 1.063
Mg 3.292 -2.115 3.059
La 5.359 0.460 4.529
```

Properties
calculated volume = 25.27 Å³/atom
ΔE_f = -8 kJ/mol of formula units
space-group type = P4/mmm



Here is LaMn2Co2 after structural relaxation from Alexandria. Energies are from GGA-PBEsol.

Cell and atoms, written as extended XYZ:
```
5
Lattice="-1.404 -2.609 -2.648 3.678 -0.559 -1.399 -0.477 -1.979 5.184" Properties=species:S:1:pos:R:3 pbc="T T T"
Co 1.297 -2.450 -1.255
Mn 2.169 -2.061 0.881
La 0.000 0.000 0.000
Co 0.500 -2.697 2.392
Mn -0.372 -3.086 0.256
```

Properties
calculated volume = 15.19 Å³/atom
ΔE_f = 82 kJ/mol of formula units
space-group type = I4/mmm



Here is La2MnCo after structural relaxation from Alexandria. Energies are from GGA-PBEsol.

Cell and atoms, written as extended XYZ:
```
4
Lattice="3.499 0.000 0.000 0.000 3.500 -0.004 0.000 -0.095 7.135" Properties=species:S:1:pos:R:3 pbc="T T T"
La 0.000 3.459 1.614
Mn 1.749 1.703 3.566
Co 1.749 1.750 -0.002
La 0.000 -0.054 5.517
```

Properties
calculated volume = 21.84 Å³/atom
ΔE_f = 108 kJ/mol of formula units
distance to the lowest polymorph of the same formula = 0 meV/atom
space-group type = P2/m



Here is La2MnCo after structural relaxation from Alexandria. Energies are from GGA-PBEsol.

Cell and atoms, written as extended XYZ:
```
4
Lattice="3.706 0.000 0.000 1.853 3.210 0.000 1.853 1.070 7.939" Properties=species:S:1:pos:R:3 pbc="T T T"
La 1.853 1.070 1.674
Mn 3.706 2.140 3.969
La 5.559 3.210 6.264
Co 0.000 0.000 0.000
```

Properties
calculated volume = 23.61 Å³/atom
ΔE_f = 157 kJ/mol of formula units
distance to the lowest polymorph of the same formula = 127 meV/atom
space-group type = R-3m



Here is La2MnCo after structural relaxation from Alexandria. Energies are from GGA-PBEsol.

Cell and atoms, written as extended XYZ:
```
4
Lattice="-3.680 3.077 -0.536 -1.419 1.318 -4.421 -4.219 -1.564 -1.747" Properties=species:S:1:pos:R:3 pbc="T T T"
La -2.329 0.708 -1.676
La 0.000 0.000 0.000
Co -4.659 1.416 -3.352
Mn -6.988 2.124 -5.028
```

Properties
calculated volume = 19.88 Å³/atom
ΔE_f = 138 kJ/mol of formula units
distance to the lowest polymorph of the same formula = 78 meV/atom
space-group type = F-43m



Here is La2MnCoO6 after structural relaxation from Alexandria. Energies are from GGA-PBEsol.

Cell and atoms, written as extended XYZ:
```
20
Lattice="-1.323 5.189 -0.272 -3.676 -1.138 -3.834 -5.260 -1.060 5.354" Properties=species:S:1:pos:R:3 pbc="T T T"
O -6.465 2.416 -0.171
Mn -0.661 2.594 -0.136
O -3.794 0.574 1.419
O -8.774 1.946 2.166
La -1.347 -0.200 1.327
La -6.441 1.157 1.958
O -1.485 1.045 -0.918
O -4.829 1.744 3.657
La -3.818 1.833 -0.711
O -5.567 -1.284 2.319
Mn -4.468 -1.099 0.760
La -8.912 3.190 -0.079
O -8.223 -0.678 2.187
Co -3.291 2.064 2.541
O -5.430 1.246 -2.409
Co -1.838 -0.569 -1.917
O -4.347 3.207 1.397
O -4.692 4.274 -1.072
O -2.036 3.669 -0.939
O -5.912 -0.216 -0.149
```

Properties
calculated volume = 11.04 Å³/atom
raw formation energy = -241.77 kJ per mole of atoms
space-group type = P2_1/c



Here is LaCo3Mo after structural relaxation from Alexandria. Energies are from GGA-PBEsol.

Cell and atoms, written as extended XYZ:
```
5
Lattice="4.450 0.000 0.000 0.000 4.450 0.000 0.000 0.000 4.450" Properties=species:S:1:pos:R:3 pbc="T T T"
Co 2.225 0.000 0.000
Co 0.000 0.000 2.225
La 2.225 2.225 2.225
Co 0.000 2.225 0.000
Mo 0.000 0.000 0.000
```

Properties
calculated volume = 17.62 Å³/atom
ΔE_f = 308 kJ/mol of formula units
space-group type = Pm-3m



Q: Look up the calculated volume of the fourth one.
A: 29.88 Å³/atom



Q: Which of these has the highest calculated volume?
A: La3MgCo



Q: The lowest calculated volume belongs to which entry?
A: La2MnCoO6